DFT (PBE) results for a geometry-optimized Be2ZnCoAg structure.

abc: 4.104 4.406 4.104
angles: 90.00 90.00 90.00
Each line ends with the local moment (μB).
Fractional positions:
Be (0.000, 0.000, 0.500)  0.02
Be (0.500, 0.000, 0.000)  0.01
Zn (0.000, 0.000, 0.000)  -0.01
Co (0.000, 0.500, 0.000)  1.56
Ag (0.500, 0.500, 0.500)  -0.01

V	14.84	Å³/atom
E_form	0.89	eV/atom
DOS at the Fermi energy	4.831	states/eV/f.u.
crystal system	tetragonal
energy above the most stable polymorph in this dataset	0.375	eV per atom